Computed, not measured: a geometry-optimized LiCaAs2 structure at the PBE level of DFT.

Output
ΔE to the lowest computed polymorph (meV per atom): 347
Density of states at the Fermi level (states/eV/atom): 0.457
ΔH_f (0 K) (eV per atom): -0.324

Unit cell a=6.9490 b=6.9490 c=6.9490 alpha=90.00 beta=90.00 gamma=90.00
Closest atoms and distances in Å follow each position.
Space group F-43m (No. 216)
Unique sites:
Li 0.0000 0.0000 0.0000 [4 per cell]  4 Ca 3.01, 4 As 3.01
Ca 0.2500 0.2500 0.7500 [4 per cell]  4 As 3.01, 4 Li 3.01
As 0.0000 0.0000 0.5000 [4 per cell]  4 As 3.01, 4 Ca 3.01
As 0.2500 0.2500 0.2500 [4 per cell]  4 Li 3.01, 4 As 3.01

---

Computed, not measured: a geometry-optimized LiCaAs2 structure at the PBE level of DFT.

Output
ΔE to the lowest computed polymorph (meV per atom): 117
Density of states at the Fermi level (states/eV/atom): 0.532
ΔH_f (0 K) (eV per atom): -0.554

Unit cell a=6.9461 b=6.9461 c=6.9461 alpha=90.00 beta=90.00 gamma=90.00
Closest atoms and distances in Å follow each position.
Space group Fm-3m (No. 225)
Unique sites:
Li 0.0000 0.0000 0.0000 [4 per cell]  8 As 3.01
Ca 0.0000 0.0000 0.5000 [4 per cell]  8 As 3.01
As 0.2500 0.2500 0.2500 [8 per cell]  4 Ca 3.01, 4 Li 3.01

---

Computed, not measured: a geometry-optimized LiCaAs2 structure at the PBE level of DFT.

Output
ΔE to the lowest computed polymorph (meV per atom): 93
Density of states at the Fermi level (states/eV/atom): 0.266
ΔH_f (0 K) (eV per atom): -0.578

Unit cell a=5.1173 b=5.1173 c=3.1995 alpha=90.00 beta=90.00 gamma=90.00
Closest atoms and distances in Å follow each position.
Space group P4/mmm (No. 123)
Unique sites:
Li 0.0000 0.0000 0.0000 [1 per cell]  8 As 3.02, 2 Li 3.20
Ca 0.5000 0.5000 0.0000 [1 per cell]  8 As 3.02, 2 Ca 3.20
As 0.0000 0.5000 0.5000 [2 per cell]  4 Li 3.02, 4 Ca 3.02, 2 As 3.20

---

Computed, not measured: a geometry-optimized LiCa2As2 structure at the PBE level of DFT.

Output
ΔE to the lowest computed polymorph (meV per atom): 0
Density of states at the Fermi level (states/eV/atom): 0.150
ΔH_f (0 K) (eV per atom): -0.853

Unit cell a=8.3197 b=8.3197 c=3.5496 alpha=90.00 beta=90.00 gamma=90.00
Closest atoms and distances in Å follow each position.
Space group P4/mbm (No. 127)
Unique sites:
Li 0.0000 0.0000 0.0000 [2 per cell]  4 As 3.10
Ca 0.1372 0.3628 0.5000 [4 per cell]  6 As 2.92-3.10, 1 Ca 3.23
As 0.1663 0.6663 0.0000 [4 per cell]  6 Ca 2.92-3.10, 2 Li 3.10

---

Computed, not measured: a geometry-optimized LiCa2As2 structure at the PBE level of DFT.

Output
ΔE to the lowest computed polymorph (meV per atom): 266
Density of states at the Fermi level (states/eV/atom): 0.663
ΔH_f (0 K) (eV per atom): -0.587

Unit cell a=5.7912 b=5.7912 c=8.2658 alpha=90.00 beta=90.00 gamma=90.00
Closest atoms and distances in Å follow each position.
Space group I4/mmm (No. 139)
Unique sites:
Li 0.0000 0.0000 0.0000 [2 per cell]  2 As 2.69
Ca 0.0000 0.5000 0.2500 [4 per cell]  4 As 2.96
As 0.0000 0.0000 0.3260 [4 per cell]  1 Li 2.69, 1 As 2.88, 4 Ca 2.96

---

Computed, not measured: a geometry-optimized Li4CaAs structure at the PBE level of DFT.

Output
Density of states at the Fermi level (states/eV/atom): 0.450
ΔH_f (0 K) (eV per atom): -0.177

Unit cell a=7.8081 b=7.8081 c=7.8081 alpha=90.00 beta=90.00 gamma=90.00
Closest atoms and distances in Å follow each position.
Space group F-43m (No. 216)
Unique sites:
Li 0.1240 0.1240 0.1240 [16 per cell]  6 Li 2.74-2.78
Ca 0.0000 0.0000 0.5000 [4 per cell]  12 Li 3.24, 4 As 3.38
As 0.2500 0.2500 0.7500 [4 per cell]  12 Li 3.23, 4 Ca 3.38

---

What is the formula in the fourth record? LiCa2As2